Entry from Alexandria: an optimized crystal structure of HfZr2PtN (PBE).

## Properties
The value obtained for the density of states at the Fermi level is 3.267 states/eV/f.u. As for the uncorrected formation energy: -1106 meV/atom. The crystal system is tetragonal. Its total energy is -9.390 eV per atom. Its space group is P4/mmm.

a b c (Å): 4.439 4.439 4.376
angles (deg): 90.00 90.00 90.00
Sites, in units of the cell vectors:
Hf (0.000, 0.000, 0.000)
Zr (0.000, 0.500, 0.500)
Zr (0.500, 0.000, 0.500)
Pt (0.500, 0.500, 0.000)
N (0.000, 0.000, 0.500)


Entry from Alexandria: an optimized crystal structure of Ho3Pa2C4 (PBE).

## Properties
The value obtained for the density of states at the Fermi level is 5.721 states/eV/f.u. The crystal system is monoclinic. Its total energy is -8.062 eV per atom. As for the formation energy: -326 meV per atom. Its space group is C2/m.

a b c (Å): 6.223 6.223 8.712
angles (deg): 118.35 118.35 33.52
Sites, in units of the cell vectors:
Ho (0.000, 0.000, 0.000)
Ho (0.204, 0.204, 0.811)
Ho (0.796, 0.796, 0.189)
Pa (0.401, 0.401, 0.610)
Pa (0.599, 0.599, 0.390)
C (0.199, 0.199, 0.324)
C (0.408, 0.408, 0.116)
C (0.592, 0.592, 0.884)
C (0.801, 0.801, 0.676)


Entry from Alexandria: an optimized crystal structure of Sc2FeRu (PBE).

## Properties
The value obtained for the density of states at the Fermi level is 4.236 states/eV/f.u. The crystal system is orthorhombic. Its total energy is -7.833 eV per atom. As for the formation energy: -233 meV per atom. Its space group is Imm2.

a b c (Å): 5.474 5.474 5.474
angles (deg): 145.98 132.66 59.57
Sites, in units of the cell vectors:
Sc (0.000, 0.000, 0.000)
Sc (0.721, 0.221, 0.500)
Fe (0.463, 0.463, 0.000)
Ru (0.250, 0.750, 0.500)


Entry from Alexandria: an optimized crystal structure of ReSiBr (PBE).

## Properties
The value obtained for the density of states at the Fermi level is 2.563 states/eV/f.u. As for the uncorrected formation energy: 919 meV/atom. The crystal system is cubic. Its total energy is -5.596 eV per atom. The energy above the most stable polymorph in this dataset comes out at 0.538 eV/atom. Its space group is F-43m.

a b c (Å): 4.294 4.294 4.294
angles (deg): 60.00 60.00 60.00
Sites, in units of the cell vectors:
Re (0.000, 0.000, 0.000)
Si (0.250, 0.250, 0.250)
Br (0.750, 0.750, 0.750)


Entry from Alexandria: an optimized crystal structure of Sr2CrGa3Pt4 (PBE).

## Properties
The value obtained for the density of states at the Fermi level is 4.852 states/eV/f.u. The crystal system is tetragonal. Its total energy is -5.335 eV per atom. As for the formation energy: -712 meV per atom. Its space group is P-4m2.

a b c (Å): 4.222 4.222 11.204
angles (deg): 90.00 90.00 90.00
Sites, in units of the cell vectors:
Sr (0.000, 0.500, 0.249)
Sr (0.500, 0.000, 0.751)
Cr (0.000, 0.000, 0.500)
Ga (0.000, 0.500, 0.869)
Ga (0.500, 0.000, 0.131)
Ga (0.500, 0.500, 0.500)
Pt (0.000, 0.000, 0.000)
Pt (0.000, 0.500, 0.640)
Pt (0.500, 0.000, 0.360)
Pt (0.500, 0.500, 0.000)


Entry from Alexandria: an optimized crystal structure of Ta2TiPdC (PBE).

## Properties
The value obtained for the density of states at the Fermi level is 7.548 states/eV/f.u. The crystal system is tetragonal. Its total energy is -9.276 eV per atom. As for the formation energy: -73 meV per atom. Its space group is P4/mmm.

a b c (Å): 4.284 4.284 4.198
angles (deg): 90.00 90.00 90.00
Sites, in units of the cell vectors:
Ta (0.000, 0.500, 0.000)
Ta (0.500, 0.000, 0.000)
Ti (0.000, 0.000, 0.500)
Pd (0.500, 0.500, 0.500)
C (0.500, 0.500, 0.000)


Entry from Alexandria: an optimized crystal structure of TbSm2Y2Tm (PBE).

## Properties
The value obtained for the density of states at the Fermi level is 10.107 states/eV/f.u. The crystal system is orthorhombic. Its total energy is -4.962 eV per atom. As for the formation energy: 282 meV per atom. Its space group is Pnnm.

a b c (Å): 6.630 17.825 3.373
angles (deg): 90.00 90.00 90.00
Sites, in units of the cell vectors:
Tb (0.000, 0.000, 0.000)
Tb (0.500, 0.500, 0.500)
Sm (0.236, 0.319, 0.000)
Sm (0.264, 0.819, 0.500)
Sm (0.736, 0.181, 0.500)
Sm (0.764, 0.681, 0.000)
Y (0.233, 0.148, 0.500)
Y (0.267, 0.648, 0.000)
Y (0.733, 0.352, 0.000)
Y (0.767, 0.852, 0.500)
Tm (0.000, 0.500, 0.000)
Tm (0.500, 0.000, 0.500)


Entry from Alexandria: an optimized crystal structure of Ge5Sb3O12 (PBE).

## Properties
The value obtained for the density of states at the Fermi level is 6.013 states/eV/f.u. As for the uncorrected formation energy: -1121 meV/atom. The crystal system is cubic. Its total energy is -5.869 eV per atom. Its space group is Ia-3d.

a b c (Å): 11.282 11.282 11.282
angles (deg): 109.47 109.47 109.47
Sites, in units of the cell vectors:
Ge (0.000, 0.000, 0.000)
Ge (0.000, 0.000, 0.500)
Ge (0.000, 0.500, 0.000)
Ge (0.000, 0.500, 0.500)
Ge (0.125, 0.750, 0.875)
Ge (0.125, 0.875, 0.250)
Ge (0.250, 0.125, 0.875)
Ge (0.250, 0.625, 0.375)
Ge (0.375, 0.250, 0.625)
Ge (0.375, 0.625, 0.750)
Ge (0.500, 0.000, 0.000)
Ge (0.500, 0.000, 0.500)
Ge (0.500, 0.500, 0.000)
Ge (0.500, 0.500, 0.500)
Ge (0.625, 0.375, 0.250)
Ge (0.625, 0.750, 0.375)
Ge (0.750, 0.375, 0.625)
Ge (0.750, 0.875, 0.125)
Ge (0.875, 0.125, 0.750)
Ge (0.875, 0.250, 0.125)
Sb (0.125, 0.250, 0.375)
Sb (0.125, 0.375, 0.750)
Sb (0.250, 0.375, 0.125)
Sb (0.250, 0.875, 0.625)
Sb (0.375, 0.125, 0.250)
Sb (0.375, 0.750, 0.125)
Sb (0.625, 0.250, 0.875)
Sb (0.625, 0.875, 0.750)
Sb (0.750, 0.125, 0.375)
Sb (0.750, 0.625, 0.875)
Sb (0.875, 0.625, 0.250)
Sb (0.875, 0.750, 0.625)
O (0.025, 0.224, 0.128)
O (0.025, 0.301, 0.897)
O (0.096, 0.724, 0.699)
O (0.096, 0.872, 0.397)
O (0.103, 0.628, 0.404)
O (0.103, 0.975, 0.699)
O (0.128, 0.025, 0.224)
O (0.128, 0.603, 0.904)
O (0.199, 0.224, 0.596)
O (0.199, 0.475, 0.603)
O (0.224, 0.128, 0.025)
O (0.224, 0.596, 0.199)
O (0.276, 0.301, 0.904)
O (0.276, 0.475, 0.372)
O (0.301, 0.897, 0.025)
O (0.301, 0.904, 0.276)
O (0.372, 0.276, 0.475)
O (0.372, 0.596, 0.897)
O (0.397, 0.096, 0.872)
O (0.397, 0.801, 0.525)
O (0.404, 0.103, 0.628)
O (0.404, 0.801, 0.776)
O (0.475, 0.372, 0.276)
O (0.475, 0.603, 0.199)
O (0.525, 0.397, 0.801)
O (0.525, 0.628, 0.724)
O (0.596, 0.199, 0.224)
O (0.596, 0.897, 0.372)
O (0.603, 0.199, 0.475)
O (0.603, 0.904, 0.128)
O (0.628, 0.404, 0.103)
O (0.628, 0.724, 0.525)
O (0.699, 0.096, 0.724)
O (0.699, 0.103, 0.975)
O (0.724, 0.525, 0.628)
O (0.724, 0.699, 0.096)
O (0.776, 0.404, 0.801)
O (0.776, 0.872, 0.975)
O (0.801, 0.525, 0.397)
O (0.801, 0.776, 0.404)
O (0.872, 0.397, 0.096)
O (0.872, 0.975, 0.776)
O (0.897, 0.025, 0.301)
O (0.897, 0.372, 0.596)
O (0.904, 0.128, 0.603)
O (0.904, 0.276, 0.301)
O (0.975, 0.699, 0.103)
O (0.975, 0.776, 0.872)